KLaIr2Os | PBE-GGA | optimized geometry

Lattice parameters (Å, degrees): 5.115 5.090 5.115 90.00 90.00 90.00
Each line ends with the local moment (μB).
Fractional positions:
1 K 0.500 0.500 0.500  0.00
2 Os 0.000 0.500 0.000  1.33
3 Ir 0.000 0.000 0.500  0.28
4 La 0.000 0.000 0.000  -0.11
5 Ir 0.500 0.000 0.000  0.35

Computed properties:
Crystal system: tetragonal
SG: P4/mmm, No. 123
Energy of formation in eV/atom: 1.8847

=====

KLaP2Ir | PBE-GGA | optimized geometry

Lattice parameters (Å, degrees): 5.638 5.234 5.638 90.00 90.00 90.00
Each line ends with the local moment (μB).
Fractional positions:
1 K 0.500 0.500 0.500  0.00
2 P 0.000 0.000 0.500  0.09
3 P 0.500 0.000 0.000  0.11
4 Ir 0.000 0.500 0.000  0.85
5 La 0.000 0.000 0.000  -0.01

Computed properties:
Crystal system: tetragonal
SG: P4/mmm, No. 123
Energy of formation in eV/atom: 0.7446

=====

KLa2IrPd | PBE-GGA | optimized geometry

Lattice parameters (Å, degrees): 5.493 5.408 5.493 90.00 90.00 90.00
Fractional positions:
1 La 0.000 0.000 0.500
2 Ir 0.000 0.000 0.000
3 La 0.500 0.000 0.000
4 Pd 0.000 0.500 0.000
5 K 0.500 0.500 0.500

Computed properties:
Crystal system: tetragonal
SG: P4/mmm, No. 123
Energy of formation in eV/atom: -0.1291

=====

KLaReIr2 | PBE-GGA | optimized geometry

Lattice parameters (Å, degrees): 4.863 5.148 4.863 90.00 90.00 90.00
Fractional positions:
1 Ir 0.500 0.000 0.000
2 K 0.000 0.500 0.000
3 Ir 0.000 0.000 0.500
4 La 0.500 0.500 0.500
5 Re 0.000 0.000 0.000

Computed properties:
Crystal system: tetragonal
SG: P4/mmm, No. 123
Energy of formation in eV/atom: 0.8835

=====

KSr2LaIr | PBE-GGA | optimized geometry

Lattice parameters (Å, degrees): 6.224 6.224 5.521 90.00 90.00 90.00
Fractional positions:
1 Sr 0.500 0.000 0.000
2 K 0.500 0.500 0.500
3 La 0.000 0.000 0.500
4 Sr 0.000 0.500 0.000
5 Ir 0.000 0.000 0.000

Computed properties:
Crystal system: tetragonal
SG: P4/mmm, No. 123
Energy of formation in eV/atom: -0.1863

=====

KLaTeIr2 | PBE-GGA | optimized geometry

Lattice parameters (Å, degrees): 5.165 6.335 5.165 90.00 90.00 90.00
Each line ends with the local moment (μB).
Fractional positions:
1 K 0.500 0.500 0.500  0.00
2 Ir 0.000 0.000 0.500  0.71
3 Ir 0.500 0.000 0.000  0.58
4 Te 0.000 0.500 0.000  0.23
5 La 0.000 0.000 0.000  -0.04

Computed properties:
Crystal system: tetragonal
SG: P4/mmm, No. 123

=====

KLa2TlIr | PBE-GGA | optimized geometry

Lattice parameters (Å, degrees): 5.650 5.650 5.474 90.00 90.00 90.00
Fractional positions:
1 K 0.500 0.500 0.500
2 La 0.500 0.000 0.000
3 La 0.000 0.500 0.000
4 Ir 0.000 0.000 0.000
5 Tl 0.000 0.000 0.500

Computed properties:
Crystal system: tetragonal
SG: P4/mmm, No. 123
Energy of formation in eV/atom: -0.1865

=====

KLaIrW2 | PBE-GGA | optimized geometry

Lattice parameters (Å, degrees): 4.673 5.147 4.673 90.00 90.00 90.00
Fractional positions:
1 W 0.500 0.000 0.000
2 La 0.500 0.500 0.500
3 W 0.000 0.000 0.500
4 K 0.000 0.000 0.000
5 Ir 0.000 0.500 0.000

Computed properties:
Crystal system: tetragonal
SG: P4/mmm, No. 123
Energy of formation in eV/atom: 2.7703

=====

KLaY2Ir | PBE-GGA | optimized geometry

Lattice parameters (Å, degrees): 5.622 5.622 5.682 90.00 90.00 90.00
Fractional positions:
1 K 0.500 0.500 0.500
2 Y 0.500 0.000 0.000
3 La 0.000 0.000 0.500
4 Y 0.000 0.500 0.000
5 Ir 0.000 0.000 0.000

Computed properties:
Crystal system: tetragonal
SG: P4/mmm, No. 123
Energy of formation in eV/atom: -0.1985

=====

KLa2YIr | PBE-GGA | optimized geometry

Lattice parameters (Å, degrees): 5.742 5.742 5.694 90.00 90.00 90.00
Fractional positions:
1 La 0.000 0.500 0.000
2 La 0.500 0.000 0.000
3 Ir 0.000 0.000 0.000
4 K 0.500 0.500 0.500
5 Y 0.000 0.000 0.500

Computed properties:
Crystal system: tetragonal
SG: P4/mmm, No. 123
Energy of formation in eV/atom: -0.2034

=====

KLa2ZnIr | PBE-GGA | optimized geometry

Lattice parameters (Å, degrees): 5.615 5.615 5.182 90.00 90.00 90.00
Fractional positions:
1 Ir 0.000 0.000 0.000
2 Zn 0.000 0.000 0.500
3 La 0.500 0.000 0.000
4 La 0.000 0.500 0.000
5 K 0.500 0.500 0.500

Computed properties:
Crystal system: tetragonal
SG: P4/mmm, No. 123
Energy of formation in eV/atom: -0.1795

=====

KLiIr2 | PBE-GGA | optimized geometry

Lattice parameters (Å, degrees): 2.712 2.712 10.009 90.00 90.00 117.03
Fractional positions:
1 K 0.500 0.500 0.250
2 Li 0.500 0.500 0.750
3 Ir 0.000 0.000 0.531
4 Ir 0.000 0.000 0.969

Computed properties:
Energy above the most stable polymorph in this dataset in meV per atom: 142
Crystal system: orthorhombic
SG: Cmmm, No. 65
Energy of formation in eV/atom: 0.3640

=====

KLiIr2 | PBE-GGA | optimized geometry

Lattice parameters (Å, degrees): 5.053 3.751 3.751 90.00 90.00 90.00
Fractional positions:
1 Ir 0.000 0.000 0.000
2 K 0.500 0.500 0.000
3 Li 0.500 0.000 0.500
4 Ir 0.000 0.500 0.500

Computed properties:
Energy above the most stable polymorph in this dataset in meV per atom: 406
Crystal system: tetragonal
SG: P4/mmm, No. 123
Energy of formation in eV/atom: 0.6279

=====

KLiIr2 | PBE-GGA | optimized geometry

Lattice parameters (Å, degrees): 2.795 4.027 7.901 90.00 90.00 90.00
Fractional positions:
1 K 0.000 0.000 0.461
2 Ir 0.000 0.000 0.047
3 Li 0.500 0.500 0.842
4 Ir 0.500 0.500 0.149

Computed properties:
Energy above the most stable polymorph in this dataset in meV per atom: 0
Crystal system: orthorhombic
SG: Pmm2, No. 25
Energy of formation in eV/atom: 0.2220

=====

KLiIr2 | PBE-GGA | optimized geometry

Lattice parameters (Å, degrees): 3.405 3.405 8.310 90.00 90.00 90.00
Fractional positions:
1 Li 0.500 0.500 0.847
2 Ir 0.000 0.000 0.053
3 Ir 0.500 0.500 0.147
4 K 0.000 0.000 0.454

Computed properties:
Energy above the most stable polymorph in this dataset in meV per atom: 135
Crystal system: tetragonal
SG: P4mm, No. 99
Energy of formation in eV/atom: 0.3569

=====

KLiIr2 | PBE-GGA | optimized geometry

Lattice parameters (Å, degrees): 5.085 2.767 4.925 82.64 90.00 90.00
Fractional positions:
1 K 0.500 0.250 0.250
2 Ir 0.000 0.945 0.977
3 Ir 0.000 0.555 0.523
4 Li 0.500 0.750 0.750

Computed properties:
Energy above the most stable polymorph in this dataset in meV per atom: 217
Crystal system: monoclinic
SG: P2/m, No. 10
Energy of formation in eV/atom: 0.4393

=====

KLiIr2 | PBE-GGA | optimized geometry

Lattice parameters (Å, degrees): 4.606 4.606 4.606 120.04 120.04 89.92
Fractional positions:
1 Ir 0.000 0.000 0.000
2 Li 0.750 0.250 0.500
3 K 0.500 0.500 0.000
4 Ir 0.250 0.750 0.500

Computed properties:
Energy above the most stable polymorph in this dataset in meV per atom: 582
Crystal system: cubic
SG: F-43m, No. 216
Energy of formation in eV/atom: 0.8036

=====

KLiIr2 | PBE-GGA | optimized geometry

Lattice parameters (Å, degrees): 5.704 5.704 5.704 141.50 141.50 55.58
Fractional positions:
1 Ir 0.500 0.500 0.000
2 Ir 0.000 0.000 0.000
3 Li 0.750 0.250 0.500
4 K 0.250 0.750 0.500

Computed properties:
Energy above the most stable polymorph in this dataset in meV per atom: 423
Crystal system: tetragonal
SG: I4/mmm, No. 139
Energy of formation in eV/atom: 0.6453

=====

KLiIr2 | PBE-GGA | optimized geometry

Lattice parameters (Å, degrees): 4.620 4.620 4.620 60.00 60.00 60.00
Each line ends with the local moment (μB).
Fractional positions:
1 Li 0.000 0.000 0.000  -0.01
2 Ir 0.250 0.250 0.250  0.26
3 K 0.500 0.500 0.500  0.00
4 Ir 0.750 0.750 0.750  0.26

Computed properties:
Energy above the most stable polymorph in this dataset in meV per atom: 1085
Crystal system: cubic
SG: Fm-3m, No. 225
Energy of formation in eV/atom: 1.3073

=====

KLiIr2 | PBE-GGA | optimized geometry

Lattice parameters (Å, degrees): 10.096 10.096 10.096 15.65 15.65 15.65
Fractional positions:
1 Ir 0.011 0.011 0.011
2 Ir 0.489 0.489 0.489
3 Li 0.750 0.750 0.750
4 K 0.250 0.250 0.250

Computed properties:
Energy above the most stable polymorph in this dataset in meV per atom: 94
Crystal system: trigonal
SG: R-3m, No. 166
Energy of formation in eV/atom: 0.3164

=====

Respective energy values: -5.111, -4.397, -5.130, -6.356, -3.836, -4.592, -4.622, -5.388, -5.761, -5.459, -4.397, -4.819, -4.555, -4.961, -4.826, -4.744, -4.380, -4.538, -3.876, -4.867 eV per atom.